Record 1
Entry from Alexandria via LeMat-Bulk: crystalline CdIn2IrO8 at its relaxed geometry (PBE-GGA).

Lattice parameters (Å, degrees): 4.874 4.848 6.762 90.00 90.00 92.50
Fractional positions:
Cd 0.000 0.000 0.500
In 0.500 0.500 0.749
In 0.500 0.500 0.251
Ir 0.000 0.000 0.000
O 0.182 0.812 0.203
O 0.708 0.714 0.000
O 0.818 0.188 0.203
O 0.818 0.188 0.797
O 0.292 0.286 0.000
O 0.182 0.812 0.797
O 0.688 0.695 0.500
O 0.312 0.305 0.500

E	-5.476	eV per atom

---

Record 2
Entry from Alexandria via LeMat-Bulk: crystalline TcHIr2Rh at its relaxed geometry (PBE-GGA).

Lattice parameters (Å, degrees): 3.927 3.927 3.906 90.00 90.00 90.00
Fractional positions:
H 0.000 0.000 0.000
Ir 0.000 0.500 0.000
Ir 0.500 0.000 0.000
Rh 0.000 0.000 0.500
Tc 0.500 0.500 0.500

E	-7.665	eV per atom
polymorph energy (0 for the lowest one)	20	meV/atom